! Ce3GaO6 | the Alexandria database | PBE-GGA | relaxed; values from VASP
! Space-group type: Cmc2_1 (36)
! E_form (uncorrected), eV per atom: -2.97
&SYSTEM
  ibrav = 0, nat = 20, ntyp = 3
/
ATOMIC_SPECIES
O 16.00 O.upf
Ce 140.12 Ce.upf
Ga 69.72 Ga.upf
CELL_PARAMETERS angstrom
5.630 0.000 0.000
0.000 7.432 0.008
0.000 -1.650 7.246
ATOMIC_POSITIONS crystal
O 0.205 0.674 0.644
O 0.178 0.109 0.584
O 0.644 0.958 0.042
O 0.205 0.356 0.326
O 0.678 0.891 0.416
O 0.705 0.644 0.674
O 0.705 0.326 0.356
O 0.178 0.416 0.891
O 0.182 0.784 0.216
O 0.678 0.584 0.109
O 0.144 0.042 0.958
O 0.682 0.216 0.784
Ce 0.475 0.914 0.703
Ce 0.475 0.297 0.086
Ce 0.975 0.086 0.297
Ce 0.932 0.604 0.396
Ce 0.975 0.703 0.914
Ce 0.432 0.396 0.604
Ga 0.010 0.192 0.808
Ga 0.510 0.808 0.192

=====

! NbSnAu2 | the Alexandria database | PBE-GGA | relaxed; values from VASP
! Space-group type: I-42d (122)
! Energy of formation, eV per atom: 0.7127
&SYSTEM
  ibrav = 0, nat = 8, ntyp = 3
/
ATOMIC_SPECIES
Nb 92.91 Nb.upf
Au 196.97 Au.upf
Sn 118.71 Sn.upf
CELL_PARAMETERS angstrom
6.145 0.000 0.000
0.000 6.145 0.000
3.073 3.073 6.098
ATOMIC_POSITIONS crystal
Nb 0.500 0.500 0.000
Nb 0.250 0.750 0.500
Au 0.140 0.625 0.250
Au 0.610 0.125 0.250
Au 0.875 0.860 0.750
Au 0.375 0.390 0.750
Sn 0.000 0.000 0.000
Sn 0.750 0.250 0.500

=====

! RbPuAgSe2 | the Alexandria database | PBE-GGA | relaxed; values from VASP
! Space-group type: Cmme (67)
! E_form (uncorrected), eV per atom: -0.88
&SYSTEM
  ibrav = 0, nat = 10, ntyp = 4
/
ATOMIC_SPECIES
Ag 107.87 Ag.upf
Se 78.96 Se.upf
Rb 85.47 Rb.upf
Pu 244.00 Pu.upf
CELL_PARAMETERS angstrom
-1.993 5.491 -2.604
-4.761 -4.306 -5.436
-3.107 1.337 5.197
ATOMIC_POSITIONS crystal
Ag 0.000 0.000 0.000
Ag 0.000 0.000 0.500
Se 0.739 0.754 0.877
Se 0.261 0.246 0.123
Se 0.261 0.754 0.377
Se 0.739 0.246 0.623
Rb 0.228 0.500 0.750
Rb 0.772 0.500 0.250
Pu 0.500 0.000 0.750
Pu 0.500 0.000 0.250

=====

! Ir6Os2Ru | the Alexandria database | PBE-GGA | relaxed; values from VASP
! Energy above the lowest structure with this stoichiometry, meV/atom: 0
! Space-group type: C2/m (12)
! Energy of formation, eV per atom: -0.0017
&SYSTEM
  ibrav = 0, nat = 9, ntyp = 3
/
ATOMIC_SPECIES
Os 190.23 Os.upf
Ir 192.22 Ir.upf
Ru 101.07 Ru.upf
CELL_PARAMETERS angstrom
-2.064 -0.928 3.126
-4.625 -1.749 -3.573
4.483 -4.113 -0.644
ATOMIC_POSITIONS crystal
Os 0.944 0.165 0.889
Os 0.056 0.835 0.111
Ir 0.281 0.166 0.562
Ir 0.392 0.835 0.785
Ir 0.164 0.501 0.328
Ir 0.608 0.165 0.215
Ir 0.719 0.834 0.438
Ir 0.836 0.499 0.672
Ru 0.500 0.500 0.000

=====

! LaSi2 | the Alexandria database | PBE-GGA | relaxed; values from VASP
! Space-group type: Fd-3m (227)
! E_form (uncorrected), eV per atom: -0.39
&SYSTEM
  ibrav = 0, nat = 6, ntyp = 2
/
ATOMIC_SPECIES
Si 28.09 Si.upf
La 138.91 La.upf
CELL_PARAMETERS angstrom
0.000 3.899 3.899
3.899 0.000 3.899
3.899 3.899 0.000
ATOMIC_POSITIONS crystal
Si 0.625 0.125 0.125
Si 0.125 0.125 0.125
Si 0.125 0.625 0.125
Si 0.125 0.125 0.625
La 0.500 0.500 0.500
La 0.750 0.750 0.750

=====

! LiPr7In4 | the Alexandria database | PBE-GGA | relaxed; values from VASP
! Space-group type: C2/m (12)
! Energy of formation, eV per atom: -0.1399
&SYSTEM
  ibrav = 0, nat = 12, ntyp = 3
/
ATOMIC_SPECIES
In 114.82 In.upf
Pr 140.91 Pr.upf
Li 6.94 Li.upf
CELL_PARAMETERS angstrom
5.771 0.000 0.000
2.886 9.283 -0.015
2.886 0.328 7.403
ATOMIC_POSITIONS crystal
In 0.694 0.663 0.950
In 0.563 0.225 0.650
In 0.437 0.775 0.350
In 0.306 0.337 0.050
Pr 0.666 0.397 0.272
Pr 0.932 0.335 0.800
Pr 0.777 0.871 0.574
Pr 0.500 0.000 0.000
Pr 0.068 0.665 0.200
Pr 0.223 0.129 0.426
Pr 0.334 0.603 0.728
Li 0.000 0.000 0.000

=====

! ErThPS | the Alexandria database | PBE-GGA | relaxed; values from VASP
! Space-group type: R3m (160)
! E_form (uncorrected), eV per atom: -1.66
&SYSTEM
  ibrav = 0, nat = 4, ntyp = 4
/
ATOMIC_SPECIES
P 30.97 P.upf
S 32.06 S.upf
Er 167.26 Er.upf
Th 232.04 Th.upf
CELL_PARAMETERS angstrom
3.923 -0.001 0.000
-1.961 3.398 0.000
-1.960 -1.132 7.015
ATOMIC_POSITIONS crystal
P 0.296 0.546 0.857
S 0.975 0.385 0.376
Er 0.484 0.140 0.640
Th 0.123 0.959 0.097

=====

! SmTm2Ni | the Alexandria database | PBE-GGA | relaxed; values from VASP
! Energy above the lowest structure with this stoichiometry, meV/atom: 268
! Space-group type: R-3m (166)
! Energy of formation, eV per atom: 0.0499
&SYSTEM
  ibrav = 0, nat = 4, ntyp = 3
/
ATOMIC_SPECIES
Sm 150.36 Sm.upf
Tm 168.93 Tm.upf
Ni 58.69 Ni.upf
CELL_PARAMETERS angstrom
-0.879 0.431 3.395
-3.403 0.178 0.935
-1.622 -10.079 2.699
ATOMIC_POSITIONS crystal
Sm 0.000 0.000 0.000
Tm 0.889 0.889 0.334
Tm 0.111 0.111 0.666
Ni 0.500 0.500 0.500

=====

! Tb6DyTmTh2 | the Alexandria database | PBE-GGA | relaxed; values from VASP
! Space-group type: C2/c (15)
! Energy of formation, eV per atom: 0.1337
&SYSTEM
  ibrav = 0, nat = 20, ntyp = 4
/
ATOMIC_SPECIES
Tb 158.93 Tb.upf
Th 232.04 Th.upf
Dy 162.50 Dy.upf
Tm 168.93 Tm.upf
CELL_PARAMETERS angstrom
6.240 -1.027 -1.066
1.439 10.595 -3.621
1.439 -4.011 10.453
ATOMIC_POSITIONS crystal
Tb 0.960 0.319 0.452
Tb 0.267 0.909 0.442
Tb 0.483 0.216 0.932
Tb 0.517 0.784 0.068
Tb 0.460 0.452 0.319
Tb 0.983 0.932 0.216
Tb 0.040 0.681 0.548
Tb 0.233 0.558 0.091
Tb 0.017 0.068 0.784
Tb 0.733 0.091 0.558
Tb 0.767 0.442 0.909
Tb 0.540 0.548 0.681
Th 0.967 0.349 0.160
Th 0.533 0.840 0.651
Th 0.033 0.651 0.840
Th 0.467 0.160 0.349
Dy 0.750 0.002 0.998
Dy 0.250 0.998 0.002
Tm 0.750 0.703 0.297
Tm 0.250 0.297 0.703

=====

! Dy4HoSc6 | the Alexandria database | PBE-GGA | relaxed; values from VASP
! Space-group type: I-42m (121)
! Energy of formation, eV per atom: 0.2931
&SYSTEM
  ibrav = 0, nat = 11, ntyp = 3
/
ATOMIC_SPECIES
Sc 44.96 Sc.upf
Ho 164.93 Ho.upf
Dy 162.50 Dy.upf
CELL_PARAMETERS angstrom
-8.943 -1.060 0.960
7.333 -5.010 -1.778
7.409 0.642 5.170
ATOMIC_POSITIONS crystal
Sc 0.500 0.000 0.500
Sc 0.656 0.214 0.214
Sc 0.500 0.500 0.000
Sc 0.344 0.557 0.557
Sc 0.000 0.786 0.443
Sc 0.000 0.443 0.786
Ho 0.000 0.000 0.000
Dy 0.617 0.988 0.988
Dy 0.383 0.371 0.371
Dy 0.000 0.012 0.629
Dy 0.000 0.629 0.012

=====

! Tb2PrY4Ho2 | the Alexandria database | PBE-GGA | relaxed; values from VASP
! Space-group type: C2/m (12)
! Energy of formation, eV per atom: 0.0000
&SYSTEM
  ibrav = 0, nat = 9, ntyp = 4
/
ATOMIC_SPECIES
Y 88.91 Y.upf
Ho 164.93 Ho.upf
Tb 158.93 Tb.upf
Pr 140.91 Pr.upf
CELL_PARAMETERS angstrom
3.607 0.000 0.000
-1.803 9.346 -0.513
0.000 -3.682 8.849
ATOMIC_POSITIONS crystal
Y 0.186 0.372 0.334
Y 0.814 0.628 0.666
Y 0.481 0.962 0.664
Y 0.519 0.038 0.336
Ho 0.668 0.336 0.000
Ho 0.332 0.664 0.000
Tb 0.149 0.297 0.667
Tb 0.851 0.703 0.333
Pr 0.000 0.000 0.000

=====

! PmSm6Mg2 | the Alexandria database | PBE-GGA | relaxed; values from VASP
! Space-group type: Cmcm (63)
! Energy of formation, eV per atom: 0.1007
&SYSTEM
  ibrav = 0, nat = 18, ntyp = 3
/
ATOMIC_SPECIES
Sm 150.36 Sm.upf
Mg 24.30 Mg.upf
Pm 145.00 Pm.upf
CELL_PARAMETERS angstrom
5.182 -0.267 -0.259
0.680 10.909 2.403
0.680 2.755 10.826
ATOMIC_POSITIONS crystal
Sm 0.250 0.013 0.616
Sm 0.250 0.512 0.288
Sm 0.250 0.712 0.488
Sm 0.750 0.987 0.384
Sm 0.750 0.488 0.712
Sm 0.750 0.171 0.003
Sm 0.750 0.288 0.512
Sm 0.250 0.003 0.171
Sm 0.250 0.829 0.997
Sm 0.750 0.616 0.013
Sm 0.250 0.384 0.987
Sm 0.750 0.997 0.829
Mg 0.750 0.793 0.686
Mg 0.250 0.207 0.314
Mg 0.250 0.686 0.793
Mg 0.750 0.314 0.207
Pm 0.250 0.247 0.753
Pm 0.750 0.753 0.247

=====

! TbCe2Pr3Te6 | the Alexandria database | PBE-GGA | relaxed; values from VASP
! Space-group type: C2/m (12)
! E_form (uncorrected), eV per atom: -1.40
&SYSTEM
  ibrav = 0, nat = 12, ntyp = 4
/
ATOMIC_SPECIES
Ce 140.12 Ce.upf
Te 127.60 Te.upf
Pr 140.91 Pr.upf
Tb 158.93 Tb.upf
CELL_PARAMETERS angstrom
-0.696 1.300 4.210
8.071 -3.348 2.368
2.298 8.622 -4.645
ATOMIC_POSITIONS crystal
Ce 0.167 0.336 0.335
Ce 0.833 0.664 0.665
Te 0.000 0.759 0.999
Te 0.337 0.915 0.674
Te 0.667 0.583 0.334
Te 0.663 0.085 0.326
Te 0.000 0.241 0.001
Te 0.333 0.417 0.666
Pr 0.832 0.166 0.664
Pr 0.500 0.500 0.000
Pr 0.168 0.834 0.336
Tb 0.500 0.000 0.000

=====

! Er3Ag5H12 | the Alexandria database | PBE-GGA | relaxed; values from VASP
! Final energy, Ry per atom: -0.2606
! Space-group type: Ia-3d (230)
&SYSTEM
  ibrav = 0, nat = 80, ntyp = 3
/
ATOMIC_SPECIES
Ag 107.87 Ag.upf
H 1.01 H.upf
Er 167.26 Er.upf
CELL_PARAMETERS angstrom
10.501 0.000 0.000
-3.500 9.901 0.000
-3.500 -4.950 8.574
ATOMIC_POSITIONS crystal
Ag 0.500 0.000 0.500
Ag 0.625 0.750 0.875
Ag 0.125 0.375 0.250
Ag 0.250 0.875 0.125
Ag 0.625 0.875 0.250
Ag 0.000 0.000 0.000
Ag 0.250 0.375 0.625
Ag 0.750 0.125 0.875
Ag 0.750 0.625 0.375
Ag 0.500 0.500 0.500
Ag 0.875 0.625 0.750
Ag 0.875 0.250 0.625
Ag 0.375 0.250 0.125
Ag 0.000 0.500 0.500
Ag 0.000 0.000 0.500
Ag 0.375 0.125 0.750
Ag 0.125 0.750 0.375
Ag 0.000 0.500 0.000
Ag 0.500 0.000 0.000
Ag 0.500 0.500 0.000
H 0.777 0.453 0.362
H 0.085 0.909 0.362
H 0.085 0.176 0.223
H 0.909 0.085 0.862
H 0.047 0.638 0.723
H 0.453 0.777 0.862
H 0.723 0.585 0.176
H 0.138 0.723 0.547
H 0.409 0.047 0.324
H 0.915 0.824 0.777
H 0.223 0.676 0.085
H 0.676 0.453 0.591
H 0.862 0.277 0.453
H 0.591 0.953 0.676
H 0.862 0.585 0.909
H 0.953 0.591 0.176
H 0.176 0.085 0.723
H 0.277 0.415 0.824
H 0.415 0.138 0.591
H 0.362 0.409 0.085
H 0.047 0.409 0.824
H 0.915 0.091 0.638
H 0.138 0.415 0.091
H 0.547 0.324 0.909
H 0.415 0.277 0.324
H 0.585 0.723 0.676
H 0.324 0.777 0.415
H 0.909 0.824 0.547
H 0.409 0.362 0.585
H 0.585 0.862 0.409
H 0.547 0.223 0.138
H 0.723 0.138 0.047
H 0.777 0.324 0.915
H 0.824 0.909 0.047
H 0.453 0.676 0.091
H 0.638 0.591 0.915
H 0.591 0.638 0.415
H 0.824 0.915 0.277
H 0.223 0.547 0.638
H 0.953 0.362 0.277
H 0.176 0.091 0.953
H 0.091 0.176 0.453
H 0.277 0.862 0.953
H 0.638 0.047 0.223
H 0.362 0.953 0.777
H 0.324 0.547 0.409
H 0.091 0.915 0.138
H 0.676 0.223 0.585
Er 0.625 0.375 0.750
Er 0.125 0.250 0.875
Er 0.750 0.875 0.625
Er 0.250 0.125 0.375
Er 0.750 0.375 0.125
Er 0.125 0.875 0.750
Er 0.625 0.250 0.375
Er 0.250 0.625 0.875
Er 0.875 0.750 0.125
Er 0.375 0.750 0.625
Er 0.875 0.125 0.250
Er 0.375 0.625 0.250

=====

! CrHSe2 | the Alexandria database | PBE-GGA | relaxed; values from VASP
! Energy above the lowest structure with this stoichiometry, meV/atom: 623
! Space-group type: P4/mmm (123)
&SYSTEM
  ibrav = 0, nat = 4, ntyp = 3
/
ATOMIC_SPECIES
Cr 52.00 Cr.upf
H 1.01 H.upf
Se 78.96 Se.upf
CELL_PARAMETERS angstrom
3.499 0.000 0.000
0.000 3.499 0.000
0.000 0.000 5.145
ATOMIC_POSITIONS crystal
Cr 0.500 0.500 0.000
H 0.000 0.000 0.500
Se 0.500 0.500 0.500
Se 0.000 0.000 0.000

=====

! AcMgSb4 | the Alexandria database | PBE-GGA | relaxed; values from VASP
! Space-group type: F-43m (216)
! E_form (uncorrected), eV per atom: -0.19
&SYSTEM
  ibrav = 0, nat = 6, ntyp = 3
/
ATOMIC_SPECIES
Sb 121.76 Sb.upf
Mg 24.30 Mg.upf
Ac 227.00 Ac.upf
CELL_PARAMETERS angstrom
6.364 0.000 0.000
3.182 5.512 0.000
3.182 1.837 5.196
ATOMIC_POSITIONS crystal
Sb 0.628 0.628 0.117
Sb 0.628 0.117 0.628
Sb 0.628 0.628 0.628
Sb 0.117 0.628 0.628
Mg 0.000 0.000 0.000
Ac 0.250 0.250 0.250

=====

! MgBC | the Alexandria database | PBE-GGA | relaxed; values from VASP
! Energy above the lowest structure with this stoichiometry, meV/atom: 30
! Space-group type: P6_3/mmc (194)
! Energy of formation, eV per atom: 0.0482
&SYSTEM
  ibrav = 0, nat = 6, ntyp = 3
/
ATOMIC_SPECIES
C 12.01 C.upf
Mg 24.30 Mg.upf
B 10.81 B.upf
CELL_PARAMETERS angstrom
2.855 0.000 0.000
-1.427 2.472 0.000
0.000 0.000 7.549
ATOMIC_POSITIONS crystal
C 0.667 0.333 0.750
C 0.333 0.667 0.250
Mg 0.000 0.000 0.500
Mg 0.000 0.000 0.000
B 0.333 0.667 0.750
B 0.667 0.333 0.250

=====

! Ac2ZnBO6 | the Alexandria database | PBE-GGA | relaxed; values from VASP
! Space-group type: P4mm (99)
! E_form (uncorrected), eV per atom: -2.32
&SYSTEM
  ibrav = 0, nat = 10, ntyp = 4
/
ATOMIC_SPECIES
Ac 227.00 Ac.upf
O 16.00 O.upf
Zn 65.41 Zn.upf
B 10.81 B.upf
CELL_PARAMETERS angstrom
-3.273 2.600 -0.194
-3.302 -4.178 -0.265
-0.359 -0.054 5.320
ATOMIC_POSITIONS crystal
Ac 0.124 0.000 0.500
Ac 0.124 0.500 0.000
O 0.662 0.779 0.221
O 0.662 0.221 0.779
O 0.219 0.000 0.000
O 0.141 0.500 0.500
O 0.662 0.779 0.779
O 0.662 0.221 0.221
Zn 0.633 0.500 0.500
B 0.559 0.000 0.000

=====

! CaHoCdPb | the Alexandria database | PBE-GGA | relaxed; values from VASP
! Space-group type: F-43m (216)
! Energy of formation, eV per atom: -0.3950
&SYSTEM
  ibrav = 0, nat = 4, ntyp = 4
/
ATOMIC_SPECIES
Ca 40.08 Ca.upf
Ho 164.93 Ho.upf
Cd 112.41 Cd.upf
Pb 207.20 Pb.upf
CELL_PARAMETERS angstrom
-3.121 0.743 -4.348
-1.182 -4.174 -3.222
-5.018 -2.001 -0.097
ATOMIC_POSITIONS crystal
Ca 0.000 0.000 0.000
Ho 0.500 0.500 0.500
Cd 0.750 0.750 0.750
Pb 0.250 0.250 0.250

=====

! AcCeBiO2 | the Alexandria database | PBE-GGA | relaxed; values from VASP
! Space-group type: I4mm (107)
! E_form (uncorrected), eV per atom: -2.61
&SYSTEM
  ibrav = 0, nat = 5, ntyp = 4
/
ATOMIC_SPECIES
Ac 227.00 Ac.upf
O 16.00 O.upf
Ce 140.12 Ce.upf
Bi 208.98 Bi.upf
CELL_PARAMETERS angstrom
4.115 0.000 0.000
0.000 4.115 0.000
-2.058 -2.058 6.921
ATOMIC_POSITIONS crystal
Ac 0.843 0.843 0.686
O 0.743 0.243 0.485
O 0.243 0.743 0.485
Ce 0.163 0.163 0.326
Bi 0.509 0.509 0.018

=====

Record order is preserved below.
Fermi-level density of states: 31.80 4.58 13.61 7.57 1.70 13.94 1.27 6.35 29.46 14.14 12.53 23.83 17.95 13.71 1.86 2.99 0.58 3.75 3.46 4.58 states/eV/cell